No. 1
! PBE TlPb2, optimized geometry; values from VASP
! E_tot   -3.263 eV per atom
! Crystal system   orthorhombic
! DOS at the Fermi energy   7.0 states/eV/cell
! Total magnetic moment   0.000 μB/atom
! Energy of formation   0.00 eV/atom
&SYSTEM
  ibrav = 0, nat = 12, ntyp = 2
/
ATOMIC_SPECIES
Pb 207.20 Pb.upf
Tl 204.38 Tl.upf
CELL_PARAMETERS angstrom
-1.496 3.421 3.057
-3.941 -4.809 3.452
8.437 -2.190 6.581
ATOMIC_POSITIONS crystal
Pb 0.250 0.625 0.757
Pb 0.750 0.876 0.584
Pb 0.750 0.375 0.243
Pb 0.250 0.124 0.416
Pb 0.250 0.125 0.743
Pb 0.750 0.875 0.257
Pb 0.250 0.624 0.084
Pb 0.750 0.376 0.916
Tl 0.750 0.879 0.916
Tl 0.250 0.621 0.416
Tl 0.250 0.121 0.084
Tl 0.750 0.379 0.584

=====

No. 2
! PBE Tl5Pb, optimized geometry; values from VASP
! E_tot   -2.583 eV per atom
! Crystal system   tetragonal
! DOS at the Fermi energy   3.5 states/eV/cell
! Total magnetic moment   0.000 μB/atom
! Energy of formation   0.01 eV/atom
&SYSTEM
  ibrav = 0, nat = 6, ntyp = 2
/
ATOMIC_SPECIES
Tl 204.38 Tl.upf
Pb 207.20 Pb.upf
CELL_PARAMETERS angstrom
3.416 0.000 0.000
0.000 3.416 0.000
0.000 0.000 15.907
ATOMIC_POSITIONS crystal
Tl 0.000 0.000 0.500
Tl 0.500 0.500 0.664
Tl 0.000 0.000 0.165
Tl 0.500 0.500 0.336
Tl 0.000 0.000 0.835
Pb 0.500 0.500 0.000

=====

No. 3
! PBE Tl8Pb, optimized geometry; values from VASP
! E_tot   -2.505 eV per atom
! Crystal system   tetragonal
! DOS at the Fermi energy   5.3 states/eV/cell
! Total magnetic moment   0.000 μB/atom
! Energy of formation   0.01 eV/atom
&SYSTEM
  ibrav = 0, nat = 9, ntyp = 2
/
ATOMIC_SPECIES
Tl 204.38 Tl.upf
Pb 207.20 Pb.upf
CELL_PARAMETERS angstrom
-3.257 -0.152 2.047
-3.736 -7.352 -2.870
2.394 -4.491 7.095
ATOMIC_POSITIONS crystal
Tl 0.000 0.667 0.333
Tl 0.000 0.333 0.667
Tl 0.667 0.666 0.000
Tl 0.333 0.334 0.000
Tl 0.667 0.333 0.333
Tl 0.333 0.667 0.667
Tl 0.333 0.000 0.334
Tl 0.667 0.000 0.666
Pb 0.000 0.000 0.000